(1)
Tl2WBr2F4 | PBE+U | optimized geometry

## Properties
DOS at the Fermi energy: 0.00 states/eV/atom
Space group: C2/m
Energy: -0.1616 Ha/atom

a b c (Å): 7.2082 7.2082 5.4710
angles (deg): 92.75 92.75 51.99
Fractional positions:
1 Tl 0.1370 0.1370 0.1378
2 Tl 0.8630 0.8630 0.8622
3 W 0.5000 0.5000 0.5000
4 Br 0.3111 0.3111 0.6616
5 Br 0.6889 0.6889 0.3384
6 F 0.2312 0.6871 0.2614
7 F 0.3129 0.7688 0.7386
8 F 0.6871 0.2312 0.2614
9 F 0.7688 0.3129 0.7386

=====

(2)
Tl3WBr2F6 | PBE+U | optimized geometry

## Properties
DOS at the Fermi energy: 0.00 states/eV/atom
Space group: C2/m
Energy: -0.1605 Ha/atom

a b c (Å): 9.1905 9.1905 4.9973
angles (deg): 90.89 90.89 51.80
Fractional positions:
1 Tl 0.0000 0.0000 0.0000
2 Tl 0.0000 0.5000 0.5000
3 Tl 0.5000 0.0000 0.5000
4 W 0.5000 0.5000 0.5000
5 Br 0.1946 0.1946 0.0052
6 Br 0.8054 0.8054 0.9948
7 F 0.2852 0.6404 0.2654
8 F 0.3596 0.7148 0.7346
9 F 0.3907 0.3907 0.6426
10 F 0.6093 0.6093 0.3574
11 F 0.6404 0.2852 0.2654
12 F 0.7148 0.3596 0.7346

=====

(3)
Tl2WBr4F2 | PBE+U | optimized geometry

## Properties
DOS at the Fermi energy: 0.00 states/eV/atom
Space group: C2/m
Energy: -0.1394 Ha/atom

a b c (Å): 7.0959 7.0959 6.2315
angles (deg): 103.35 103.35 64.85
Fractional positions:
1 Tl 0.1883 0.1883 0.2734
2 Tl 0.8117 0.8117 0.7266
3 W 0.5000 0.5000 0.0000
4 Br 0.1625 0.6532 0.1902
5 Br 0.3468 0.8375 0.8098
6 Br 0.6532 0.1625 0.1902
7 Br 0.8375 0.3468 0.8098
8 F 0.3599 0.3599 0.7414
9 F 0.6401 0.6401 0.2586

=====

(4)
Tl2WBrF | PBE+U | optimized geometry

## Properties
DOS at the Fermi energy: 0.19 states/eV/atom
Space group: P4/mmm
Energy: -0.1259 Ha/atom

a b c (Å): 5.9765 5.9765 4.2659
angles (deg): 90.00 90.00 90.00
Fractional positions:
1 Tl 0.0000 0.5000 0.0000
2 Tl 0.5000 0.0000 0.0000
3 W 0.0000 0.0000 0.5000
4 Br 0.5000 0.5000 0.5000
5 F 0.0000 0.0000 0.0000